No. 1
First-principles (PBE-GGA) data for a geometry-optimized MnAlSbTe2 structure, as listed in the Alexandria database.

Properties
Uncorrected formation energy in meV/atom: 542
Density of states at the Fermi level in states/eV/cell: 7.9
Energy above the most stable polymorph in this dataset in meV per atom: 0
Calculated volume in Å³ per atom: 26.21
Mass density in g/cm³: 5.8

a b c (Å): 5.180 5.180 4.884
angles (deg): 90.00 90.00 90.00
Space group P4/mmm (No. 123)
Inequivalent atoms, fractional coordinates:
Mn (0.000, 0.000, 0.000)
Al (0.500, 0.500, 0.500)
Sb (0.000, 0.000, 0.500)
Te (0.000, 0.500, 0.000)



No. 2
First-principles (PBE-GGA) data for a geometry-optimized ZnSnAu3 structure, as listed in the Alexandria database.

Properties
Density of states at the Fermi level in states/eV/cell: 1.9
Energy above the most stable polymorph in this dataset in meV per atom: 269
Energy of formation in eV per atom: 0.2391
Calculated volume in Å³ per atom: 23.16
Mass density in g/cm³: 11.1

a b c (Å): 4.874 4.874 4.874
angles (deg): 90.00 90.00 90.00
Space group Pm-3m (No. 221)
Inequivalent atoms, fractional coordinates:
Zn (0.000, 0.000, 0.000)
Sn (0.500, 0.500, 0.500)
Au (0.000, 0.000, 0.500)



No. 3
First-principles (PBE-GGA) data for a geometry-optimized La3PrEr4 structure, as listed in the Alexandria database.

Properties
Density of states at the Fermi level in states/eV/cell: 27.1
Energy above the most stable polymorph in this dataset in meV per atom: 106
Energy of formation in eV per atom: 0.1397
Calculated volume in Å³ per atom: 34.05
Mass density in g/cm³: 7.5

a b c (Å): 3.470 11.822 13.281
angles (deg): 90.00 90.00 90.00
Space group Immm (No. 71)
Inequivalent atoms, fractional coordinates:
La (0.000, 0.000, 0.000)
La (0.000, 0.500, 0.243)
Pr (0.000, 0.000, 0.500)
Er (0.000, 0.249, 0.365)



No. 4
First-principles (PBE-GGA) data for a geometry-optimized CuBPS2 structure, as listed in the Alexandria database.

Properties
Uncorrected formation energy in meV/atom: 1513
Density of states at the Fermi level in states/eV/cell: 2.5
Energy above the most stable polymorph in this dataset in meV per atom: 634
Calculated volume in Å³ per atom: 18.66
Mass density in g/cm³: 3.0

a b c (Å): 4.659 4.659 4.297
angles (deg): 90.00 90.00 90.00
Space group P4/mmm (No. 123)
Inequivalent atoms, fractional coordinates:
Cu (0.000, 0.000, 0.000)
B (0.500, 0.500, 0.500)
P (0.000, 0.000, 0.500)
S (0.000, 0.500, 0.000)